The following is a PBE calculation of an optimized crystal structure of K2MnTl2Cl6, from the Alexandria database.

## Properties
ΔE_f (raw) in eV per atom: -1.368
Crystal system: monoclinic
M_tot in Bohr magnetons per cell: 5.0

```
K2MnTl2Cl6
1.0
3.896 -6.318 0.000
3.896 6.318 0.000
-2.468 0.000 7.187
K Mn Tl Cl
2 1 2 6
direct
0.160 0.840 0.000 K
0.840 0.160 0.000 K
0.500 0.500 0.000 Mn
0.322 0.678 0.500 Tl
0.678 0.322 0.500 Tl
0.151 0.437 0.795 Cl
0.304 0.304 0.220 Cl
0.437 0.151 0.795 Cl
0.563 0.849 0.205 Cl
0.696 0.696 0.780 Cl
0.849 0.563 0.205 Cl
```


The following is a PBE calculation of an optimized crystal structure of Y2HgSb, from the Alexandria database.

## Properties
ΔE_f (raw) in eV per atom: -0.626
Offset from the most stable computed form in meV per atom: 161
Crystal system: cubic
M_tot in Bohr magnetons per cell: 0.0

```
Y2HgSb
1.0
0.000 3.753 3.753
3.753 0.000 3.753
3.753 3.753 0.000
Y Hg Sb
2 1 1
direct
0.250 0.250 0.250 Y
0.750 0.750 0.750 Y
0.000 0.000 0.000 Hg
0.500 0.500 0.500 Sb
```


The following is a PBE calculation of an optimized crystal structure of PdPb3N, from the Alexandria database.

## Properties
ΔE_f (raw) in eV per atom: 0.565
Offset from the most stable computed form in meV per atom: 0
Crystal system: cubic
M_tot in Bohr magnetons per cell: 0.0

```
PdPb3N
1.0
4.931 0.000 0.000
0.000 4.931 0.000
0.000 0.000 4.931
Pd Pb N
1 3 1
direct
0.000 0.000 0.000 Pd
0.000 0.500 0.500 Pb
0.500 0.000 0.500 Pb
0.500 0.500 0.000 Pb
0.500 0.500 0.500 N
```


The following is a PBE calculation of an optimized crystal structure of ZrAs2Rh, from the Alexandria database.

## Properties
Crystal system: cubic
M_tot in Bohr magnetons per cell: 0.0
VASP energy in eV for the cell shown: -27.2

```
ZrAs2Rh
1.0
0.000 3.247 3.247
3.247 0.000 3.247
3.247 3.247 0.000
Zr As Rh
1 2 1
direct
0.000 0.000 0.000 Zr
0.250 0.250 0.250 As
0.750 0.750 0.750 As
0.500 0.500 0.500 Rh
```


The following is a PBE calculation of an optimized crystal structure of Rb4NpU3Se8, from the Alexandria database.

## Properties
ΔE_f (raw) in eV per atom: -1.219
Crystal system: trigonal
M_tot in Bohr magnetons per cell: 13.0

```
Rb4NpU3Se8
1.0
4.249 2.453 8.066
-4.249 2.453 8.066
0.000 -4.907 8.066
Rb Np U Se
4 1 3 8
direct
0.000 0.000 0.000 Rb
0.000 0.500 0.500 Rb
0.500 0.000 0.500 Rb
0.500 0.500 0.000 Rb
0.500 0.500 0.500 Np
0.000 0.000 0.500 U
0.000 0.500 0.000 U
0.500 0.000 0.000 U
0.231 0.734 0.734 Se
0.233 0.233 0.233 Se
0.266 0.266 0.769 Se
0.266 0.769 0.266 Se
0.734 0.231 0.734 Se
0.734 0.734 0.231 Se
0.767 0.767 0.767 Se
0.769 0.266 0.266 Se
```


The following is a PBE calculation of an optimized crystal structure of NaHfGaI6, from the Alexandria database.

## Properties
ΔE_f (raw) in eV per atom: -0.837
Crystal system: trigonal
M_tot in Bohr magnetons per cell: 0.0

```
NaHfGaI6
1.0
7.823 0.000 0.000
-3.911 6.775 0.000
0.000 0.000 14.010
Na Hf Ga I
2 2 2 12
direct
0.333 0.667 0.250 Na
0.667 0.333 0.750 Na
0.333 0.667 0.750 Hf
0.667 0.333 0.250 Hf
0.000 0.000 0.000 Ga
0.000 0.000 0.500 Ga
0.034 0.372 0.631 I
0.034 0.662 0.869 I
0.338 0.372 0.869 I
0.338 0.966 0.631 I
0.372 0.034 0.131 I
0.372 0.338 0.369 I
0.628 0.662 0.631 I
0.628 0.966 0.869 I
0.662 0.034 0.369 I
0.662 0.628 0.131 I
0.966 0.338 0.131 I
0.966 0.628 0.369 I
```


The following is a PBE calculation of an optimized crystal structure of ZnP2RhO, from the Alexandria database.

## Properties
ΔE_f (raw) in eV per atom: 0.677
Offset from the most stable computed form in meV per atom: 355
Crystal system: tetragonal
M_tot in Bohr magnetons per cell: 0.0

```
ZnP2RhO
1.0
4.734 0.000 0.000
0.000 4.734 0.000
0.000 0.000 3.492
Zn P Rh O
1 2 1 1
direct
0.000 0.000 0.000 Zn
0.000 0.500 0.000 P
0.500 0.000 0.000 P
0.500 0.500 0.500 Rh
0.000 0.000 0.500 O
```


The following is a PBE calculation of an optimized crystal structure of ZrTe2P, from the Alexandria database.

## Properties
ΔE_f (raw) in eV per atom: -0.239
Offset from the most stable computed form in meV per atom: 317
Crystal system: orthorhombic
M_tot in Bohr magnetons per cell: 0.0

```
ZrTe2P
1.0
2.013 -2.492 0.000
2.013 2.492 0.000
0.000 0.000 11.110
Zr Te P
1 2 1
direct
0.000 0.000 0.000 Zr
0.000 0.000 0.454 Te
0.500 0.500 0.795 Te
0.500 0.500 0.141 P
```


The following is a PBE calculation of an optimized crystal structure of RbTl2Ag2, from the Alexandria database.

## Properties
Offset from the most stable computed form in meV per atom: 70
Crystal system: tetragonal
M_tot in Bohr magnetons per cell: 0.0

```
RbTl2Ag2
1.0
9.110 0.000 0.000
0.000 9.110 0.000
0.000 0.000 3.417
Rb Tl Ag
2 4 4
direct
0.000 0.000 0.000 Rb
0.500 0.500 0.000 Rb
0.132 0.368 0.000 Tl
0.368 0.868 0.000 Tl
0.632 0.132 0.000 Tl
0.868 0.632 0.000 Tl
0.162 0.662 0.500 Ag
0.338 0.162 0.500 Ag
0.662 0.838 0.500 Ag
0.838 0.338 0.500 Ag
```


The following is a PBE calculation of an optimized crystal structure of AsSeIO2, from the Alexandria database.

## Properties
ΔE_f (raw) in eV per atom: -0.026
Offset from the most stable computed form in meV per atom: 0
Crystal system: tetragonal
M_tot in Bohr magnetons per cell: 0.0

```
AsSeIO2
1.0
3.884 0.000 0.000
0.000 3.884 0.000
0.000 0.000 6.982
As Se I O
1 1 1 2
direct
0.000 0.000 0.000 As
0.500 0.500 0.500 Se
0.000 0.000 0.500 I
0.000 0.500 0.000 O
0.500 0.000 0.000 O
```


The following is a PBE calculation of an optimized crystal structure of La4InRu, from the Alexandria database.

## Properties
Offset from the most stable computed form in meV per atom: 929
Crystal system: cubic
M_tot in Bohr magnetons per cell: 1.5

```
La4InRu
1.0
0.000 4.461 4.461
4.461 0.000 4.461
4.461 4.461 0.000
La In Ru
4 1 1
direct
0.124 0.124 0.124 La
0.124 0.124 0.627 La
0.124 0.627 0.124 La
0.627 0.124 0.124 La
0.500 0.500 0.500 In
0.750 0.750 0.750 Ru
```


The following is a PBE calculation of an optimized crystal structure of Na5B7C3, from the Alexandria database.

## Properties
Offset from the most stable computed form in meV per atom: 35
Crystal system: monoclinic
M_tot in Bohr magnetons per cell: 0.0

```
Na5B7C3
1.0
7.146 -2.550 0.000
7.146 2.550 0.000
-2.859 0.000 8.570
Na B C
10 14 6
direct
0.049 0.049 0.245 Na
0.151 0.150 0.752 Na
0.252 0.247 0.249 Na
0.352 0.349 0.753 Na
0.451 0.445 0.242 Na
0.555 0.549 0.758 Na
0.651 0.648 0.247 Na
0.753 0.748 0.751 Na
0.850 0.849 0.248 Na
0.951 0.951 0.755 Na
0.025 0.366 0.500 B
0.061 0.727 0.000 B
0.154 0.846 0.500 B
0.272 0.537 0.499 B
0.273 0.939 0.000 B
0.334 0.666 0.000 B
0.357 0.036 0.500 B
0.463 0.728 0.501 B
0.471 0.130 0.000 B
0.634 0.975 0.500 B
0.688 0.312 0.000 B
0.824 0.176 0.500 B
0.870 0.529 0.000 B
0.964 0.643 0.500 B
0.128 0.467 0.000 C
0.533 0.872 0.000 C
0.571 0.233 0.499 C
0.734 0.063 0.001 C
0.767 0.429 0.501 C
0.937 0.266 0.999 C
```


The following is a PBE calculation of an optimized crystal structure of Pm2ErF11, from the Alexandria database.

## Properties
ΔE_f (raw) in eV per atom: -3.427
Crystal system: orthorhombic
M_tot in Bohr magnetons per cell: 4.2

```
Pm2ErF11
1.0
-4.304 5.186 5.598
4.304 -5.186 5.598
4.304 5.186 -5.598
Pm Er F
4 2 22
direct
0.191 0.164 0.354 Pm
0.309 0.664 0.973 Pm
0.691 0.336 0.027 Pm
0.809 0.836 0.646 Pm
0.250 0.750 0.500 Er
0.750 0.250 0.500 Er
0.000 0.000 0.000 F
0.021 0.452 0.767 F
0.062 0.832 0.624 F
0.185 0.952 0.431 F
0.189 0.893 0.082 F
0.208 0.438 0.376 F
0.292 0.668 0.230 F
0.311 0.393 0.705 F
0.315 0.746 0.767 F
0.438 0.062 0.770 F
0.479 0.246 0.431 F
0.500 0.500 0.000 F
0.521 0.754 0.569 F
0.562 0.938 0.230 F
0.685 0.254 0.233 F
0.689 0.607 0.295 F
0.708 0.332 0.770 F
0.792 0.562 0.624 F
0.811 0.107 0.918 F
0.815 0.048 0.569 F
0.938 0.168 0.376 F
0.979 0.548 0.233 F
```


The following is a PBE calculation of an optimized crystal structure of BP, from the Alexandria database.

## Properties
Crystal system: tetragonal
M_tot in Bohr magnetons per cell: 0.0
VASP energy in eV for the cell shown: -50.5

```
BP
1.0
5.566 0.000 0.000
0.000 5.566 0.000
0.000 0.000 3.205
B P
4 4
direct
0.178 0.178 0.000 B
0.322 0.678 0.500 B
0.678 0.322 0.500 B
0.822 0.822 0.000 B
0.181 0.819 0.000 P
0.319 0.319 0.500 P
0.681 0.681 0.500 P
0.819 0.181 0.000 P
```


The following is a PBE calculation of an optimized crystal structure of BaPb2IF, from the Alexandria database.

## Properties
ΔE_f (raw) in eV per atom: 0.073
Crystal system: tetragonal
M_tot in Bohr magnetons per cell: 0.0

```
BaPb2IF
1.0
6.589 0.000 0.000
0.000 6.589 0.000
0.000 0.000 6.211
Ba Pb I F
1 2 1 1
direct
0.000 0.000 0.000 Ba
0.000 0.500 0.000 Pb
0.500 0.000 0.000 Pb
0.000 0.000 0.500 I
0.500 0.500 0.500 F
```


The following is a PBE calculation of an optimized crystal structure of BeOsF2, from the Alexandria database.

## Properties
ΔE_f (raw) in eV per atom: -1.580
Offset from the most stable computed form in meV per atom: 0
Crystal system: trigonal
M_tot in Bohr magnetons per cell: 1.0

```
BeOsF2
1.0
1.298 0.749 9.882
-1.298 0.749 9.882
0.000 -1.499 9.882
Be Os F
1 1 2
direct
0.000 0.000 0.000 Be
0.500 0.500 0.500 Os
0.364 0.364 0.364 F
0.636 0.636 0.636 F
```


The following is a PBE calculation of an optimized crystal structure of Pa2Zn2Tc3, from the Alexandria database.

## Properties
Crystal system: monoclinic
M_tot in Bohr magnetons per cell: 0.0
VASP energy in eV for the cell shown: -53.6

```
Pa2Zn2Tc3
1.0
6.363 -2.302 0.000
6.363 2.302 0.000
-0.072 0.000 4.856
Pa Zn Tc
2 2 3
direct
0.143 0.143 0.399 Pa
0.857 0.857 0.601 Pa
0.404 0.404 0.102 Zn
0.596 0.596 0.898 Zn
0.000 0.000 0.000 Tc
0.205 0.205 0.867 Tc
0.795 0.795 0.133 Tc
```